1.
The following is a PBEsol calculation of a geometry-optimized GaMoAs2 structure, from the Alexandria database.

Cell: 5.7364 5.7364 11.1877 Å, 90.00 90.00 90.00°
Closest atoms and distances in Å follow each position.
Space group I-42d (No. 122)
Symmetry-distinct sites (fractional):
Ga 0.0000 0.0000 0.0000 [4 per cell]  4 As 2.50
Mo 0.0000 0.0000 0.5000 [4 per cell]  4 As 2.43
As 0.2395 0.2500 0.6250 [8 per cell]  2 Mo 2.43, 2 Ga 2.50

Formation energy from the elements   315 meV/atom
Crystal system   tetragonal

=====

2.
The following is a PBEsol calculation of a geometry-optimized Ga2MoAsPd structure, from the Alexandria database.

Cell: 4.7871 4.7871 4.7543 Å, 90.00 90.00 90.00°
Closest atoms and distances in Å follow each position.
Space group P4/mmm (No. 123)
Symmetry-distinct sites (fractional):
Ga 0.0000 0.5000 0.0000 [2 per cell]  2 Mo 2.39
Mo 0.0000 0.0000 0.0000 [1 per cell]  2 Pd 2.38, 4 Ga 2.39
As 0.5000 0.5000 0.5000 [1 per cell]  8 Ga 3.37, 4 Pd 3.38
Pd 0.0000 0.0000 0.5000 [1 per cell]  2 Mo 2.38

Formation energy from the elements   949 meV/atom
Crystal system   tetragonal

=====

3.
The following is a PBEsol calculation of a geometry-optimized GaAs3N structure, from the Alexandria database.

Cell: 4.3409 4.3409 4.3409 Å, 90.00 90.00 90.00°
Closest atoms and distances in Å follow each position.
Space group Pm-3m (No. 221)
Symmetry-distinct sites (fractional):
Ga 0.0000 0.0000 0.0000 [1 per cell]  12 As 3.07
As 0.0000 0.5000 0.5000 [3 per cell]  2 N 2.17
N 0.5000 0.5000 0.5000 [1 per cell]  6 As 2.17

Crystal system   cubic
ΔE_f (raw)   0.61 eV per atom

=====

4.
The following is a PBEsol calculation of a geometry-optimized GaAsN3 structure, from the Alexandria database.

Cell: 3.8343 3.8343 3.8343 Å, 90.00 90.00 90.00°
Closest atoms and distances in Å follow each position.
Space group Pm-3m (No. 221)
Symmetry-distinct sites (fractional):
Ga 0.0000 0.0000 0.0000 [1 per cell]  6 N 1.92
As 0.5000 0.5000 0.5000 [1 per cell]  12 N 2.71
N 0.0000 0.0000 0.5000 [3 per cell]  2 Ga 1.92

Crystal system   cubic
ΔE_f (raw)   1.60 eV per atom

=====

no.,VASP energy (eV per atom)
1,-6.0151
2,-4.9535
3,-4.8241
4,-5.2003